{
  "formula": "Nd2AgRu",
  "functional": "PBE",
  "state": "optimized geometry",
  "cell": [[5.121, 0.000, 0.000], [2.561, 4.435, 0.000], [2.561, 1.478, 4.181]],
  "species": ["Nd", "Ag", "Ru", "Nd"],
  "fractional_positions": [[0.500, 0.500, 0.500], [0.250, 0.250, 0.250], [0.750, 0.750, 0.750], [0.000, 0.000, 0.000]],
  "magnetic_moment_mub_per_cell": 0.0,
  "dos_at_fermi_per_ev_cell": 5.32,
  "e_form_mev_per_atom": -201,
  "energy_ev_per_atom": -5.616,
  "sg": "No. 225"
}